A relaxed structure of AcTl2VF6, computed with PBE with a Hubbard U.

Cell: 6.5205 6.4775 9.1926 Å, 90.00 90.00 90.00°
Last column: nearest neighbours and their distance in Å.
Atoms (fractional coordinates):
F 0.0000 0.7496 0.2344  1 V 2.15
F 0.7659 0.9840 0.0000  1 V 2.15
F 0.2664 0.4857 0.5000  1 V 2.15
F 0.2659 0.0160 0.5000  1 V 2.15
F 0.7341 0.0160 0.5000  1 V 2.15
F 0.2336 0.5143 0.0000  1 V 2.15
F 0.7336 0.4857 0.5000  1 V 2.15
F 0.0000 0.7496 0.7656  1 V 2.15
F 0.5000 0.2504 0.7344  1 V 2.15
F 0.7664 0.5143 0.0000  1 V 2.15
F 0.2341 0.9840 0.0000  1 V 2.15
F 0.5000 0.2504 0.2656  1 V 2.15
Ac 0.5000 0.2492 0.0000  6 F 2.44
Ac 0.0000 0.7508 0.5000  6 F 2.44
Tl 0.5000 0.7491 0.7486  12 F 3.23-3.27
Tl 0.5000 0.7491 0.2514  12 F 3.23-3.27
Tl 0.0000 0.2509 0.2486  12 F 3.23-3.27
Tl 0.0000 0.2509 0.7514  12 F 3.23-3.27
V 0.5000 0.2505 0.5000  6 F 2.15
V 0.0000 0.7495 0.0000  6 F 2.15

Output
The value obtained for the total energy is -107.62 eV/cell. The calculated volume is 19.4 Å³/atom.